Hf2TaZn after structural relaxation. Source: Alexandria via LeMat-Bulk, functional GGA-PBE.

abc: 4.2947 4.2947 4.1323
angles: 90.00 90.00 90.00
Positions (direct):
Hf: 0.0000 0.5000 0.0000
Hf: 0.5000 0.0000 0.0000
Ta: 0.0000 0.0000 0.5000
Zn: 0.5000 0.5000 0.5000

Calculated values
Electronic total energy, eV/cell: -33.11
SG: No. 123

---

Sm13Y3 after structural relaxation. Source: Alexandria via LeMat-Bulk, functional GGA-PBE.

abc: 7.3487 8.6095 8.6095
angles: 84.81 90.00 90.00
Positions (direct):
Sm: 0.0000 0.9997 0.9997
Sm: 0.0000 0.4151 0.9169
Sm: 0.0000 0.4992 0.4992
Sm: 0.0000 0.9169 0.4151
Sm: 0.2504 0.1676 0.6654
Sm: 0.2504 0.6654 0.1676
Sm: 0.2500 0.7495 0.7495
Sm: 0.5000 0.0000 0.0000
Sm: 0.5000 0.4160 0.9172
Sm: 0.5000 0.9172 0.4160
Sm: 0.7496 0.1676 0.6654
Sm: 0.7496 0.6654 0.1676
Sm: 0.7500 0.7495 0.7495
Y: 0.2500 0.2501 0.2501
Y: 0.5000 0.4987 0.4987
Y: 0.7500 0.2501 0.2501

Calculated values
Electronic total energy, eV/cell: -80.34
SG: No. 38

---

Ti6MnOs after structural relaxation. Source: Alexandria via LeMat-Bulk, functional GGA-PBE.

abc: 7.3617 7.3617 7.3617
angles: 145.86 145.86 49.05
Positions (direct):
Ti: 0.1107 0.6107 0.5000
Ti: 0.2486 0.2486 0.0000
Ti: 0.3893 0.8893 0.5000
Ti: 0.6107 0.1107 0.5000
Ti: 0.7514 0.7514 0.0000
Ti: 0.8893 0.3893 0.5000
Mn: 0.0000 0.0000 0.0000
Os: 0.5000 0.5000 0.0000

Calculated values
Electronic total energy, eV/cell: -69.55
SG: No. 139

---

TiInNF2 after structural relaxation. Source: Alexandria via LeMat-Bulk, functional GGA-PBE.

abc: 4.1982 4.1982 3.9404
angles: 90.00 90.00 90.00
Positions (direct):
Ti: 0.0000 0.0000 0.0000
In: 0.5000 0.5000 0.5000
N: 0.0000 0.0000 0.5000
F: 0.0000 0.5000 0.0000
F: 0.5000 0.0000 0.0000

Calculated values
Polymorph energy (0 for the lowest one), meV/atom: 0
Formation energy (no corrections), eV/atom: -1.64
SG: No. 123

---

V2CuPd8 after structural relaxation. Source: Alexandria via LeMat-Bulk, functional GGA-PBE.

abc: 6.9492 6.9492 6.9492
angles: 145.46 116.99 73.89
Positions (direct):
V: 0.2002 0.2002 0.0000
V: 0.7998 0.7998 0.0000
Cu: 0.5000 0.5000 0.0000
Pd: 0.0600 0.3410 0.7190
Pd: 0.1844 0.0000 0.1844
Pd: 0.3567 0.8567 0.5000
Pd: 0.3780 0.6590 0.7190
Pd: 0.6220 0.3410 0.2810
Pd: 0.6433 0.1433 0.5000
Pd: 0.8156 0.0000 0.8156
Pd: 0.9400 0.6590 0.2810

Calculated values
Polymorph energy (0 for the lowest one), meV/atom: 35
SG: No. 71

---

Mg6Tl3Sn after structural relaxation. Source: Alexandria via LeMat-Bulk, functional GGA-PBE.

abc: 3.4257 3.4257 24.7192
angles: 90.00 90.00 120.00
Positions (direct):
Mg: 0.3333 0.6667 0.1001
Mg: 0.3333 0.6667 0.4025
Mg: 0.3333 0.6667 0.7991
Mg: 0.6667 0.3333 0.2009
Mg: 0.6667 0.3333 0.5975
Mg: 0.6667 0.3333 0.8999
Tl: 0.0000 0.0000 0.0000
Tl: 0.0000 0.0000 0.3024
Tl: 0.0000 0.0000 0.6976
Sn: 0.0000 0.0000 0.5000

Calculated values
Electronic total energy, eV/cell: -20.73
SG: No. 164

---

AcNdTmPu after structural relaxation. Source: Alexandria via LeMat-Bulk, functional GGA-PBE.

abc: 5.8140 5.8140 5.8140
angles: 60.00 60.00 60.00
Positions (direct):
Ac: 0.0000 0.0000 0.0000
Nd: 0.7500 0.7500 0.7500
Tm: 0.2500 0.2500 0.2500
Pu: 0.5000 0.5000 0.5000

Calculated values
Electronic total energy, eV/cell: -26.60
SG: No. 216

---

Hf2InCo after structural relaxation. Source: Alexandria via LeMat-Bulk, functional GGA-PBE.

abc: 8.4922 8.4922 8.4922
angles: 22.92 22.92 22.92
Positions (direct):
Hf: 0.2308 0.2308 0.2308
Hf: 0.7692 0.7692 0.7692
In: 0.0000 0.0000 0.0000
Co: 0.5000 0.5000 0.5000

Calculated values
Electronic total energy, eV/cell: -30.22
SG: No. 166

---

BePdS3 after structural relaxation. Source: Alexandria via LeMat-Bulk, functional GGA-PBE.

abc: 4.6650 4.6650 4.6650
angles: 90.00 90.00 90.00
Positions (direct):
Be: 0.0000 0.0000 0.0000
Pd: 0.5000 0.5000 0.5000
S: 0.0000 0.5000 0.5000
S: 0.5000 0.0000 0.5000
S: 0.5000 0.5000 0.0000

Calculated values
Polymorph energy (0 for the lowest one), meV/atom: 474
Formation energy (no corrections), eV/atom: 0.93
SG: No. 221

---

Sm2MgPb3 after structural relaxation. Source: Alexandria via LeMat-Bulk, functional GGA-PBE.

abc: 7.0077 7.0077 7.0077
angles: 138.03 124.85 71.65
Positions (direct):
Sm: 0.1824 0.1824 0.0000
Sm: 0.8176 0.8176 0.0000
Mg: 0.5000 0.5000 0.0000
Pb: 0.0000 0.5000 0.5000
Pb: 0.3513 0.8513 0.5000
Pb: 0.6487 0.1487 0.5000

Calculated values
Polymorph energy (0 for the lowest one), meV/atom: 197
SG: No. 71

---

Y2Pd2S after structural relaxation. Source: Alexandria via LeMat-Bulk, functional GGA-PBE.

abc: 7.5965 7.5965 3.8624
angles: 90.00 90.00 90.00
Positions (direct):
Y: 0.1783 0.3217 0.0000
Y: 0.3217 0.8217 0.0000
Y: 0.6783 0.1783 0.0000
Y: 0.8217 0.6783 0.0000
Pd: 0.1233 0.6233 0.5000
Pd: 0.3767 0.1233 0.5000
Pd: 0.6233 0.8767 0.5000
Pd: 0.8767 0.3767 0.5000
S: 0.0000 0.0000 0.0000
S: 0.5000 0.5000 0.0000

Calculated values
Polymorph energy (0 for the lowest one), meV/atom: 0
Formation energy (no corrections), eV/atom: -0.98
SG: No. 127

---

ScH2Pt2 after structural relaxation. Source: Alexandria via LeMat-Bulk, functional GGA-PBE.

abc: 5.0983 5.0983 5.0983
angles: 138.67 138.67 59.87
Positions (direct):
Sc: 0.0000 0.0000 0.0000
H: 0.2500 0.7500 0.5000
H: 0.7500 0.2500 0.5000
Pt: 0.3437 0.3437 0.0000
Pt: 0.6563 0.6563 0.0000

Calculated values
Polymorph energy (0 for the lowest one), meV/atom: 23
SG: No. 139

---

SrLaV2 after structural relaxation. Source: Alexandria via LeMat-Bulk, functional GGA-PBE.

abc: 6.7655 6.7655 6.7655
angles: 103.18 103.18 122.96
Positions (direct):
Sr: 0.0000 0.0000 0.0000
Sr: 0.7500 0.2500 0.5000
La: 0.2500 0.7500 0.5000
La: 0.5000 0.5000 0.0000
V: 0.1406 0.1250 0.5156
V: 0.3750 0.8594 0.9844
V: 0.6094 0.6250 0.4844
V: 0.8750 0.3906 0.0156

Calculated values
Polymorph energy (0 for the lowest one), meV/atom: 297
SG: No. 122

---

Nd12InRh6 after structural relaxation. Source: Alexandria via LeMat-Bulk, functional GGA-PBE.

abc: 8.8426 8.8426 8.8426
angles: 109.47 109.47 109.47
Positions (direct):
Nd: 0.1187 0.8144 0.3043
Nd: 0.1856 0.3043 0.4899
Nd: 0.1856 0.6957 0.8813
Nd: 0.3043 0.1187 0.8144
Nd: 0.3043 0.4899 0.1856
Nd: 0.4899 0.1856 0.3043
Nd: 0.5101 0.8144 0.6957
Nd: 0.6957 0.5101 0.8144
Nd: 0.6957 0.8813 0.1856
Nd: 0.8144 0.3043 0.1187
Nd: 0.8144 0.6957 0.5101
Nd: 0.8813 0.1856 0.6957
In: 0.0000 0.0000 0.0000
Rh: 0.1308 0.6308 0.5000
Rh: 0.3692 0.5000 0.8692
Rh: 0.5000 0.1308 0.6308
Rh: 0.5000 0.8692 0.3692
Rh: 0.6308 0.5000 0.1308
Rh: 0.8692 0.3692 0.5000

Calculated values
Electronic total energy, eV/cell: -113.76
SG: No. 204

---

Rb2NaCaI6 after structural relaxation. Source: Alexandria via LeMat-Bulk, functional GGA-PBE.

abc: 8.7370 8.7370 8.7370
angles: 60.00 60.00 60.00
Positions (direct):
Rb: 0.2500 0.2500 0.2500
Rb: 0.7500 0.7500 0.7500
Na: 0.0000 0.0000 0.0000
Ca: 0.5000 0.5000 0.5000
I: 0.2508 0.2508 0.7492
I: 0.2508 0.7492 0.2508
I: 0.2508 0.7492 0.7492
I: 0.7492 0.2508 0.2508
I: 0.7492 0.2508 0.7492
I: 0.7492 0.7492 0.2508

Calculated values
Formation energy (no corrections), eV/atom: -1.23
SG: No. 225

---

KCoN after structural relaxation. Source: Alexandria via LeMat-Bulk, functional GGA-PBE.

abc: 3.0818 3.0818 5.4917
angles: 90.00 90.00 120.00
Positions (direct):
K: 0.0000 0.0000 0.0000
Co: 0.3333 0.6667 0.4775
N: 0.6667 0.3333 0.3836

Calculated values
Polymorph energy (0 for the lowest one), meV/atom: 301
Formation energy (no corrections), eV/atom: 0.22
SG: No. 156

---

MnAg after structural relaxation. Source: Alexandria via LeMat-Bulk, functional GGA-PBE.

abc: 4.9707 4.9707 7.0042
angles: 110.54 110.54 37.02
Positions (direct):
Mn: 0.0000 0.0000 0.0000
Mn: 0.0050 0.0050 0.4757
Mn: 0.6486 0.6486 0.3128
Ag: 0.3265 0.3265 0.1619
Ag: 0.3341 0.3341 0.6420
Ag: 0.6594 0.6594 0.8154

Calculated values
Electronic total energy, eV/cell: -34.59
SG: No. 8

---

HoGa2Os after structural relaxation. Source: Alexandria via LeMat-Bulk, functional GGA-PBE.

abc: 4.5849 4.5849 4.5849
angles: 60.00 60.00 60.00
Positions (direct):
Ho: 0.0000 0.0000 0.0000
Ga: 0.2500 0.2500 0.2500
Ga: 0.7500 0.7500 0.7500
Os: 0.5000 0.5000 0.5000

Calculated values
Electronic total energy, eV/cell: -23.08
SG: No. 225

---

FeMoW after structural relaxation. Source: Alexandria via LeMat-Bulk, functional GGA-PBE.

abc: 4.4075 4.4075 2.6313
angles: 90.00 90.00 120.00
Positions (direct):
Fe: 0.0000 0.0000 0.0000
Mo: 0.3333 0.6667 0.3415
W: 0.6667 0.3333 0.6769

Calculated values
Polymorph energy (0 for the lowest one), meV/atom: 71
SG: No. 156